Record 1
Hf3Np5N8 | PBE-GGA | relaxed

abc: 6.7509 6.7509 6.7509
angles: 59.00 59.00 59.00
With the nearest neighbours (Å) after each atom.
Sites, in units of the cell vectors:
Hf 0.0000 0.5000 0.5000  6 N 2.28-2.30
Hf 0.5000 0.0000 0.5000  6 N 2.28-2.30
Hf 0.5000 0.5000 0.0000  6 N 2.28-2.30
Np 0.0000 0.0000 0.0000  6 N 2.36
Np 0.0000 0.0000 0.5000  6 N 2.44-2.46
Np 0.0000 0.5000 0.0000  6 N 2.44-2.46
Np 0.5000 0.0000 0.0000  6 N 2.44-2.46
Np 0.5000 0.5000 0.5000  6 N 2.39
N 0.2487 0.2487 0.7323  2 Hf 2.28, 4 Np 2.36-2.46
N 0.2487 0.7323 0.2487  2 Hf 2.28, 4 Np 2.36-2.46
N 0.2575 0.2575 0.2575  3 Hf 2.30, 3 Np 2.44
N 0.2677 0.7513 0.7513  2 Hf 2.28, 4 Np 2.36-2.46
N 0.7323 0.2487 0.2487  2 Hf 2.28, 4 Np 2.36-2.46
N 0.7425 0.7425 0.7425  3 Hf 2.30, 3 Np 2.44
N 0.7513 0.2677 0.7513  2 Hf 2.28, 4 Np 2.36-2.46
N 0.7513 0.7513 0.2677  2 Hf 2.28, 4 Np 2.36-2.46

Summary:
SG	No. 166
formation energy without anion corrections	-1389	meV per atom
density	14.3	g/cm³
density of states at the Fermi level	22.26	states/eV per cell

Record 2
VSnTeN2 | PBE-GGA | relaxed

abc: 4.0590 4.0590 6.2117
angles: 90.00 90.00 90.00
With the nearest neighbours (Å) after each atom.
Sites, in units of the cell vectors:
V 0.0000 0.0000 0.0000  4 Te 2.87
Sn 0.5000 0.5000 0.5000  4 N 2.03
Te 0.5000 0.5000 0.0000  4 V 2.87, 2 Sn 3.11
N 0.0000 0.5000 0.5000  2 Sn 2.03
N 0.5000 0.0000 0.5000  2 Sn 2.03

Summary:
SG	No. 123
ΔE to the lowest computed polymorph	1.0232	eV per atom
formation energy without anion corrections	1540	meV per atom
density	5.3	g/cm³
density of states at the Fermi level	6.21	states/eV per cell

Record 3
MgTiZn2 | PBE-GGA | relaxed

abc: 6.2009 6.2009 6.2009
angles: 155.68 129.26 57.03
With the nearest neighbours (Å) after each atom.
Sites, in units of the cell vectors:
Mg 0.0000 0.0000 0.0000  2 Mg 2.61, 2 Zn 2.75
Ti 0.5000 0.5000 0.0000  2 Ti 2.61, 2 Zn 2.70
Zn 0.2522 0.2522 0.0000  2 Zn 2.61, 1 Ti 2.70, 1 Mg 2.75
Zn 0.7478 0.7478 0.0000  2 Zn 2.61, 1 Ti 2.70, 1 Mg 2.75

Summary:
SG	No. 71
ΔH_f (0 K)	421	meV/atom
density	4.5	g/cm³
density of states at the Fermi level	3.04	states/eV per cell

Record 4
Mn5In | PBE-GGA | relaxed

abc: 4.7705 4.7705 6.7857
angles: 110.50 110.50 35.10
With the nearest neighbours (Å) after each atom.
Sites, in units of the cell vectors:
Mn 0.0000 0.0000 0.0000  4 Mn 2.36-2.50
Mn 0.0007 0.0007 0.5660  4 Mn 2.51-2.59, 2 In 2.78
Mn 0.3417 0.3417 0.1815  4 Mn 2.50-2.64, 3 In 2.76
Mn 0.3477 0.3477 0.7264  6 Mn 2.36-2.61
Mn 0.6761 0.6761 0.8816  10 Mn 2.50-2.78
In 0.6674 0.6674 0.3660  10 Mn 2.76-2.83, 2 In 2.88

Summary:
SG	No. 8
ΔH_f (0 K)	230	meV/atom
ΔE to the lowest computed polymorph	0.0440	eV per atom
density	7.8	g/cm³
density of states at the Fermi level	6.35	states/eV per cell

Record 5
RbPd3I | PBE-GGA | relaxed

abc: 5.2591 5.2591 5.2591
angles: 90.00 90.00 90.00
With the nearest neighbours (Å) after each atom.
Sites, in units of the cell vectors:
Rb 0.0000 0.0000 0.0000  6 Pd 2.63
Pd 0.0000 0.0000 0.5000  2 Rb 2.63
Pd 0.0000 0.5000 0.0000  2 Rb 2.63
Pd 0.5000 0.0000 0.0000  2 Rb 2.63
I 0.5000 0.5000 0.5000  12 Pd 3.72

Summary:
SG	No. 221
ΔE to the lowest computed polymorph	1.0831	eV per atom
formation energy without anion corrections	1198	meV per atom
density	6.1	g/cm³
density of states at the Fermi level	2.67	states/eV per cell

Record 6
TaCr2Au | PBE-GGA | relaxed

abc: 2.8153 4.4260 5.0669
angles: 90.00 95.10 90.00
With the nearest neighbours (Å) after each atom.
Sites, in units of the cell vectors:
Ta 0.0000 0.0000 0.0000  4 Cr 2.61, 2 Au 2.79, 2 Ta 2.82
Cr 0.3179 0.5000 0.8077  1 Cr 2.12
Cr 0.6821 0.5000 0.1923  1 Cr 2.12
Au 0.5000 0.0000 0.5000  4 Cr 2.78, 4 Ta 2.79-3.01, 2 Au 2.82

Summary:
SG	No. 10
ΔH_f (0 K)	310	meV/atom
ΔE to the lowest computed polymorph	0.2303	eV per atom
density	12.7	g/cm³
density of states at the Fermi level	4.73	states/eV per cell

Record 7
SrTc2Ir | PBE-GGA | relaxed

abc: 4.9625 4.9625 2.8497
angles: 90.00 90.00 90.00
With the nearest neighbours (Å) after each atom.
Sites, in units of the cell vectors:
Sr 0.0000 0.0000 0.0000  2 Sr 2.85, 8 Tc 2.86
Tc 0.0000 0.5000 0.5000  2 Tc 2.85, 4 Ir 2.86, 4 Sr 2.86
Tc 0.5000 0.0000 0.5000  2 Tc 2.85, 4 Ir 2.86, 4 Sr 2.86
Ir 0.5000 0.5000 0.0000  2 Ir 2.85, 8 Tc 2.86

Summary:
SG	No. 123
ΔH_f (0 K)	975	meV/atom
ΔE to the lowest computed polymorph	0.5948	eV per atom
density	11.3	g/cm³
density of states at the Fermi level	5.51	states/eV per cell

Record 8
Ba4AgHg | PBE-GGA | relaxed

abc: 4.2330 4.2330 15.0476
angles: 90.00 90.00 90.00
With the nearest neighbours (Å) after each atom.
Sites, in units of the cell vectors:
Ba 0.0000 0.0000 0.1292  4 Ag 3.57, 1 Ba 3.89
Ba 0.0000 0.0000 0.8708  4 Ag 3.57, 1 Ba 3.89
Ba 0.5000 0.5000 0.3681  4 Hg 3.59, 1 Ba 3.97
Ba 0.5000 0.5000 0.6319  4 Hg 3.59, 1 Ba 3.97
Ag 0.5000 0.5000 0.0000  8 Ba 3.57
Hg 0.0000 0.0000 0.5000  8 Ba 3.59

Summary:
SG	No. 123
ΔH_f (0 K)	-267	meV/atom
ΔE to the lowest computed polymorph	0.0000	eV per atom
density	5.3	g/cm³
density of states at the Fermi level	7.32	states/eV per cell

Record 9
Be2InRh2 | PBE-GGA | relaxed

abc: 6.2759 6.2759 6.2759
angles: 147.98 147.98 45.92
With the nearest neighbours (Å) after each atom.
Sites, in units of the cell vectors:
Be 0.2500 0.7500 0.5000  4 Rh 2.28, 4 Be 2.45
Be 0.7500 0.2500 0.5000  4 Rh 2.28, 4 Be 2.45
In 0.0000 0.0000 0.0000  8 Rh 2.82
Rh 0.3790 0.3790 0.0000  4 Be 2.28
Rh 0.6210 0.6210 0.0000  4 Be 2.28

Summary:
SG	No. 139
ΔH_f (0 K)	-231	meV/atom
ΔE to the lowest computed polymorph	0.2534	eV per atom
density	8.1	g/cm³
density of states at the Fermi level	2.86	states/eV per cell

Record 10
GaCoSnIr | PBE-GGA | relaxed

abc: 4.4176 4.4176 4.4176
angles: 60.00 60.00 60.00
With the nearest neighbours (Å) after each atom.
Sites, in units of the cell vectors:
Ga 0.0000 0.0000 0.0000  4 Co 2.71, 4 Ir 2.71
Co 0.2500 0.2500 0.2500  4 Sn 2.71, 4 Ga 2.71
Sn 0.5000 0.5000 0.5000  4 Co 2.71, 4 Ir 2.71
Ir 0.7500 0.7500 0.7500  4 Sn 2.71, 4 Ga 2.71

Summary:
SG	No. 216
ΔH_f (0 K)	-91	meV/atom
density	12.0	g/cm³
density of states at the Fermi level	1.51	states/eV per cell

Record 11
Y4ErSe4 | PBE-GGA | relaxed

abc: 6.9627 6.9627 6.9627
angles: 99.77 99.77 131.34
With the nearest neighbours (Å) after each atom.
Sites, in units of the cell vectors:
Y 0.1000 0.2935 0.3935  5 Se 2.85-2.87
Y 0.2935 0.9000 0.1935  5 Se 2.85-2.87
Y 0.7065 0.1000 0.8065  5 Se 2.85-2.87
Y 0.9000 0.7065 0.6065  5 Se 2.85-2.87
Er 0.5000 0.5000 0.0000  4 Se 2.83
Se 0.1997 0.5955 0.7952  1 Er 2.83, 5 Y 2.85-2.87
Se 0.4045 0.1997 0.6043  1 Er 2.83, 5 Y 2.85-2.87
Se 0.5955 0.8003 0.3957  1 Er 2.83, 5 Y 2.85-2.87
Se 0.8003 0.4045 0.2048  1 Er 2.83, 5 Y 2.85-2.87

Summary:
SG	No. 87
formation energy without anion corrections	-1525	meV per atom
density	6.0	g/cm³
density of states at the Fermi level	6.25	states/eV per cell

Record 12
Nb4GeC | PBE-GGA | relaxed

abc: 6.8791 6.8791 6.1656
angles: 105.98 105.98 43.91
With the nearest neighbours (Å) after each atom.
Sites, in units of the cell vectors:
Nb 0.0095 0.8086 0.5461  1 C 2.11
Nb 0.1914 0.9905 0.9539  1 C 2.11
Nb 0.2154 0.4019 0.8479  2 C 2.20-2.23
Nb 0.4019 0.2154 0.3479  2 C 2.20-2.23
Nb 0.5981 0.7846 0.6521  2 C 2.20-2.23
Nb 0.7846 0.5981 0.1521  2 C 2.20-2.23
Nb 0.8086 0.0095 0.0461  1 C 2.11
Nb 0.9905 0.1914 0.4539  1 C 2.11
Ge 0.3817 0.6183 0.2500  10 Nb 2.83-3.03
Ge 0.6183 0.3817 0.7500  10 Nb 2.83-3.03
C 0.0000 0.5000 0.5000  6 Nb 2.11-2.23
C 0.5000 0.0000 0.0000  6 Nb 2.11-2.23

Summary:
SG	No. 15
ΔH_f (0 K)	-256	meV/atom
density	7.8	g/cm³
density of states at the Fermi level	9.23	states/eV per cell

Number 1: total magnetization 15.0 μB per formula unit. Number 2: total magnetization 1.9 μB per formula unit. Number 3: total magnetization 0.0 μB per formula unit. Number 4: total magnetization 3.0 μB per formula unit. Number 5: total magnetization 0.0 μB per formula unit. Number 6: total magnetization 0.0 μB per formula unit. Number 7: total magnetization 0.0 μB per formula unit. Number 8: total magnetization 0.0 μB per formula unit. Number 9: total magnetization 0.0 μB per formula unit. Number 10: total magnetization 1.2 μB per formula unit. Number 11: total magnetization 0.0 μB per formula unit. Number 12: total magnetization 0.0 μB per formula unit.